This record from Alexandria describes a relaxed structure of Tm3Mg2Hg7. The functional is PBE.

Summary:
* E: -1.759 eV per atom
* calculated formation energy: -199.5 meV per atom
* spin magnetization: 0.00 μB/cell
* calculated density: 10.8 g/cm³

```
Tm3Mg2Hg7
1.0
2.483 -12.049 0.000
2.483 12.049 0.000
0.000 0.000 5.041
Tm Mg Hg
3 2 7
direct
0.000 0.000 0.000
0.158 0.842 0.000
0.842 0.158 0.000
0.347 0.653 0.500
0.653 0.347 0.500
0.079 0.921 0.500
0.223 0.777 0.500
0.415 0.585 0.000
0.500 0.500 0.500
0.585 0.415 0.000
0.777 0.223 0.500
0.921 0.079 0.500
```